Computed, not measured: a crystal of AlAu3 relaxed with PBEsol at the meta-GGA SCAN level of DFT.

Computed properties:
calculated formation energy	-29	kJ/mol of atoms
N(E_F)	0.80	states/eV/f.u.
total magnetic moment	0.000	μB/atom

abc: 2.9882 2.9882 25.7671
angles: 90.00 90.00 120.00
Space group R-3m (No. 166, hexagonal axes)
Inequivalent atoms, fractional coordinates:
Al1 0.0000 0.0000 0.0000 (multiplicity 3)
Au1 0.0000 0.0000 0.2572 (multiplicity 6)
Au2 0.0000 0.0000 0.5000 (multiplicity 3)

Computed, not measured: a crystal of ScAl2Ag relaxed with PBEsol at the meta-GGA SCAN level of DFT.

Computed properties:
calculated formation energy	-38	kJ/mol of atoms
N(E_F)	1.60	states/eV/f.u.
total magnetic moment	0.000	μB/atom

abc: 4.120 4.120 4.065
angles: 90.00 90.00 90.00
Space group P4/mmm (No. 123)
Inequivalent atoms, fractional coordinates:
Sc1 0.000 0.000 0.000 (multiplicity 1)
Al1 0.000 0.500 0.500 (multiplicity 2)
Ag1 0.500 0.500 0.000 (multiplicity 1)

Computed, not measured: a crystal of RbCu2H3S2O10 relaxed with PBEsol at the meta-GGA SCAN level of DFT.

Computed properties:
energy	-336.99	eV for the cell shown
N(E_F)	0.00	states/eV/f.u.
total magnetic moment	0.112	μB/atom

abc: 9.075 6.309 7.737
angles: 90.00 118.22 90.00
Space group Cm (No. 8)
Inequivalent atoms, fractional coordinates:
Rb1 0.000 0.000 0.000 (multiplicity 2)
Cu1 0.252 0.254 0.498 (multiplicity 4)
H1 0.020 0.000 0.511 (multiplicity 2)
H2 0.210 0.000 0.721 (multiplicity 2)
H3 0.294 0.500 0.284 (multiplicity 2)
S1 0.074 0.500 0.783 (multiplicity 2)
S2 0.426 0.000 0.217 (multiplicity 2)
O1 0.035 0.305 0.276 (multiplicity 4)
O2 0.158 0.000 0.575 (multiplicity 2)
O3 0.177 0.500 0.681 (multiplicity 2)
O4 0.178 0.500 0.996 (multiplicity 2)
O5 0.322 0.000 0.004 (multiplicity 2)
O6 0.323 0.000 0.318 (multiplicity 2)
O7 0.347 0.500 0.429 (multiplicity 2)
O8 0.466 0.195 0.725 (multiplicity 4)

Computed, not measured: a crystal of Be2BH3O5 relaxed with PBEsol at the meta-GGA SCAN level of DFT.

Computed properties:
energy	-162.90	eV for the cell shown
N(E_F)	0.00	states/eV/f.u.
total magnetic moment	0.000	μB/atom

abc: 4.414 10.487 4.428
angles: 90.00 119.83 90.00
Space group P2_1 (No. 4)
Inequivalent atoms, fractional coordinates:
Be1 0.011 0.000 0.025 (multiplicity 2)
Be2 0.341 0.105 0.691 (multiplicity 2)
B1 0.325 0.550 0.641 (multiplicity 2)
H1 0.114 0.304 0.856 (multiplicity 2)
H2 0.216 0.290 0.446 (multiplicity 2)
H3 0.276 0.806 0.146 (multiplicity 2)
O1 0.014 0.550 0.642 (multiplicity 2)
O2 0.022 0.842 0.029 (multiplicity 2)
O3 0.325 0.549 0.332 (multiplicity 2)
O4 0.338 0.260 0.691 (multiplicity 2)
O5 0.365 0.053 0.049 (multiplicity 2)

Computed, not measured: a crystal of YHfSb2Te relaxed with PBEsol at the meta-GGA SCAN level of DFT.

Computed properties:
E_form (uncorrected)	-129	meV per atom
N(E_F)	3.12	states/eV/f.u.
total magnetic moment	0.000	μB/atom

abc: 5.407 5.407 5.418
angles: 90.00 90.00 90.00
Space group P4/mmm (No. 123)
Inequivalent atoms, fractional coordinates:
Y1 0.000 0.000 0.000 (multiplicity 1)
Hf1 0.500 0.500 0.500 (multiplicity 1)
Sb1 0.000 0.500 0.500 (multiplicity 2)
Te1 0.500 0.500 0.000 (multiplicity 1)

Computed, not measured: a crystal of Mg2AsRh relaxed with PBEsol at the meta-GGA SCAN level of DFT.

Computed properties:
calculated formation energy	-51	kJ/mol of atoms
N(E_F)	0.80	states/eV/f.u.
total magnetic moment	0.000	μB/atom

abc: 10.074 3.067 4.633
angles: 90.00 107.23 90.00
Space group Cm (No. 8)
Inequivalent atoms, fractional coordinates:
Mg1 0.000 0.000 0.000 (multiplicity 2)
Mg2 0.203 0.000 0.653 (multiplicity 2)
As1 0.269 0.500 0.207 (multiplicity 2)
Rh1 0.455 0.000 0.483 (multiplicity 2)